No. 1
This record from Alexandria via LeMat-Bulk describes a relaxed structure of NaIr2W. The functional is GGA-PBEsol.

## Properties
Its total energy is -33.37 eV for the cell shown. As for the density of states at the Fermi level: 0.94 states/eV per atom. As for the formation energy: 0.372 eV/atom.

```
NaIr2W
1.0
4.3797 0.0000 0.0000
2.1899 3.7930 0.0000
2.1899 1.2643 3.5760
Na Ir W
1 2 1
Direct
0.0000 0.0000 0.0000 Na
0.2500 0.2500 0.2500 Ir
0.7500 0.7500 0.7500 Ir
0.5000 0.5000 0.5000 W
```

No. 2
This record from Alexandria via LeMat-Bulk describes a relaxed structure of Cu3Se2. The functional is GGA-PBEsol.

## Properties
Its total energy is -20.93 eV for the cell shown. As for the density of states at the Fermi level: 0.46 states/eV per atom. The value obtained for the formation energy from raw total energies is -46 meV/atom.

```
Cu3Se2
1.0
3.7714 0.0000 0.0000
-1.8857 3.2662 0.0000
0.0000 0.0000 6.4148
Cu Se
3 2
Direct
0.3333 0.6667 0.4009 Cu
0.6667 0.3333 0.5991 Cu
0.0000 0.0000 0.0000 Cu
0.6667 0.3333 0.2179 Se
0.3333 0.6667 0.7821 Se
```

No. 3
This record from Alexandria via LeMat-Bulk describes a relaxed structure of TlGaS3. The functional is GGA-PBEsol.

## Properties
Its total energy is -19.00 eV for the cell shown. As for the density of states at the Fermi level: 0.88 states/eV per atom. The value obtained for the formation energy from raw total energies is 25 meV/atom.

```
TlGaS3
1.0
4.7419 0.0000 0.0000
0.0000 4.7419 0.0000
0.0000 0.0000 4.7419
S Ga Tl
3 1 1
Direct
0.5000 0.0000 0.0000 S
0.0000 0.0000 0.5000 S
0.0000 0.5000 0.0000 S
0.0000 0.0000 0.0000 Ga
0.5000 0.5000 0.5000 Tl
```

No. 4
This record from Alexandria via LeMat-Bulk describes a relaxed structure of NaCo2H3S2O10. The functional is GGA-PBEsol.

## Properties
Its total energy is -110.48 eV for the cell shown. As for the density of states at the Fermi level: 0.48 states/eV per atom.

```
NaCo2H3S2O10
1.0
5.2994 0.1690 -0.0120
1.7582 5.0021 -0.0120
2.6131 1.9146 6.6030
O H Na Co S
10 3 1 2 2
Direct
0.1848 0.7793 0.7506 O
0.7785 0.7785 0.5068 O
0.7793 0.1848 0.7506 O
0.8115 0.2208 0.2543 O
0.8177 0.8177 0.1632 O
0.2208 0.8115 0.2543 O
0.6444 0.6444 0.9086 O
0.1832 0.1832 0.8402 O
0.2204 0.2204 0.4959 O
0.3383 0.3383 0.0894 O
0.6876 0.6876 0.7584 H
0.2987 0.2987 0.2394 H
0.4836 0.4836 0.0048 H
0.4962 0.4962 0.5064 Na
0.9826 0.5167 0.0012 Co
0.5167 0.9826 0.0012 Co
0.9097 0.9097 0.2985 S
0.0919 0.0919 0.7061 S
```

No. 5
This record from Alexandria via LeMat-Bulk describes a relaxed structure of ScRuPt2. The functional is GGA-PBEsol.

## Properties
Its total energy is -32.49 eV for the cell shown. As for the density of states at the Fermi level: 1.20 states/eV per atom. As for the formation energy: -0.447 eV/atom.

```
ScRuPt2
1.0
-0.7893 -1.3325 2.3742
-0.6749 -3.2063 -2.0238
5.3398 -1.6573 0.8450
Sc Pt Ru
1 2 1
Direct
0.5000 0.5000 0.7547 Sc
0.5000 0.5000 0.2698 Pt
0.0000 0.0000 0.9991 Pt
0.0000 0.0000 0.4764 Ru
```

No. 6
This record from Alexandria via LeMat-Bulk describes a relaxed structure of SrCaMg2. The functional is GGA-PBEsol.

## Properties
Its total energy is -7.70 eV for the cell shown. As for the density of states at the Fermi level: 0.93 states/eV per atom. As for the formation energy: -0.073 eV/atom.

```
SrCaMg2
1.0
-1.3682 2.1468 3.1259
-0.7573 -3.4060 2.0077
7.4243 0.1884 3.1203
Sr Mg Ca
1 2 1
Direct
0.5000 0.5000 0.0000 Sr
0.0000 0.0000 0.2706 Mg
0.0000 0.0000 0.7294 Mg
0.5000 0.5000 0.5000 Ca
```

No. 7
This record from Alexandria via LeMat-Bulk describes a relaxed structure of La2ReMo. The functional is GGA-PBEsol.

## Properties
Its total energy is -32.46 eV for the cell shown. As for the density of states at the Fermi level: 1.52 states/eV per atom. As for the formation energy: 0.833 eV/atom.

```
La2ReMo
1.0
-2.4657 0.4986 -2.4960
1.4519 -2.5788 -1.9494
-4.1866 -4.7642 3.1841
La Re Mo
2 1 1
Direct
0.0000 0.0000 0.7423 La
0.0000 0.0000 0.2577 La
0.5000 0.5000 0.5000 Re
0.5000 0.5000 0.0000 Mo
```

No. 8
This record from Alexandria via LeMat-Bulk describes a relaxed structure of Bi2AsPdN. The functional is GGA-PBEsol.

## Properties
Its total energy is -24.33 eV for the cell shown. As for the density of states at the Fermi level: 0.62 states/eV per atom. The value obtained for the formation energy from raw total energies is 766 meV/atom.

```
Bi2AsPdN
1.0
3.5528 0.0000 0.0000
0.0000 5.5358 0.0000
0.0000 0.0000 5.5358
As Bi N Pd
1 2 1 1
Direct
0.0000 0.0000 0.0000 As
0.0000 0.5000 0.0000 Bi
0.0000 0.0000 0.5000 Bi
0.5000 0.0000 0.0000 N
0.5000 0.5000 0.5000 Pd
```

No. 9
This record from Alexandria via LeMat-Bulk describes a relaxed structure of CdSi2Tc. The functional is GGA-PBEsol.

## Properties
Its total energy is -23.19 eV for the cell shown. As for the density of states at the Fermi level: 0.54 states/eV per atom. The value obtained for the formation energy from raw total energies is 191 meV/atom.

```
CdSi2Tc
1.0
2.9414 0.0000 0.0000
1.4707 2.5473 0.0000
1.4707 0.8491 8.3429
Cd Si Tc
1 2 1
Direct
0.2485 0.2485 0.2544 Cd
0.0102 0.0102 0.9694 Si
0.7532 0.7532 0.7405 Si
0.4881 0.4881 0.5357 Tc
```

No. 10
This record from Alexandria via LeMat-Bulk describes a relaxed structure of Sr2MgTa. The functional is GGA-PBEsol.

## Properties
Its total energy is -15.04 eV for the cell shown. As for the density of states at the Fermi level: 0.99 states/eV per atom. As for the formation energy: 0.728 eV/atom.

```
Sr2MgTa
1.0
-3.0298 -1.4528 0.2382
-0.7281 -2.6958 -1.8841
2.7279 -8.3112 7.8264
Ta Mg Sr
1 1 2
Direct
0.5000 0.5000 0.5000 Ta
0.0000 0.0000 0.0000 Mg
0.7564 0.7564 0.7308 Sr
0.2436 0.2436 0.2692 Sr
```

No. 11
This record from Alexandria via LeMat-Bulk describes a relaxed structure of Li2AgPb. The functional is GGA-PBEsol.

## Properties
Its total energy is -12.39 eV for the cell shown. As for the density of states at the Fermi level: 0.29 states/eV per atom. As for the formation energy: -0.286 eV/atom.

```
Li2AgPb
1.0
4.7040 -0.0012 -0.0022
-2.3528 4.0241 -0.4254
-0.0013 -2.3200 4.0925
Ag Li Pb
1 2 1
Direct
0.2502 0.5000 0.7497 Ag
0.7496 0.5000 0.2502 Li
0.0001 0.0000 0.9998 Li
0.4999 0.0000 0.5000 Pb
```

No. 12
This record from Alexandria via LeMat-Bulk describes a relaxed structure of Bi2Te2W3O16. The functional is GGA-PBEsol.

## Properties
Its total energy is -360.07 eV for the cell shown. As for the density of states at the Fermi level: 0.00 states/eV per atom. The value obtained for the formation energy from raw total energies is -1696 meV/atom.

```
Bi2Te2W3O16
1.0
5.5437 0.0000 0.0000
2.7718 10.5858 0.0232
2.7718 3.4678 10.6170
O Bi Te W
32 4 4 6
Direct
0.1161 0.7033 0.3771 O
0.9961 0.4321 0.7444 O
0.6794 0.3586 0.0314 O
0.6071 0.7144 0.3779 O
0.5102 0.5567 0.2053 O
0.4203 0.8982 0.4914 O
0.4898 0.4433 0.7947 O
0.6995 0.7856 0.1221 O
0.5708 0.8517 0.8969 O
0.1965 0.7967 0.1229 O
0.5797 0.1018 0.5086 O
0.0946 0.8323 0.7766 O
0.3194 0.6483 0.6031 O
0.3005 0.2144 0.8779 O
0.1726 0.0679 0.7556 O
0.3929 0.2856 0.6221 O
0.0694 0.1414 0.4686 O
0.8035 0.2033 0.8771 O
0.8274 0.9321 0.2444 O
0.1900 0.3982 0.9914 O
0.8839 0.2967 0.6229 O
0.6806 0.3517 0.3969 O
0.8099 0.6018 0.0086 O
0.2722 0.9433 0.2947 O
0.2964 0.3323 0.2766 O
0.9306 0.8586 0.5314 O
0.9054 0.1677 0.2234 O
0.7278 0.0567 0.7053 O
0.0039 0.5679 0.2556 O
0.4292 0.1483 0.1031 O
0.3206 0.6414 0.9686 O
0.7036 0.6677 0.7234 O
0.5318 0.9016 0.6635 Bi
0.0969 0.5984 0.8365 Bi
0.4682 0.0984 0.3365 Bi
0.9031 0.4016 0.1635 Bi
0.8938 0.9647 0.8474 Te
0.1062 0.0353 0.1526 Te
0.7060 0.5353 0.6526 Te
0.2940 0.4647 0.3474 Te
0.2312 0.7893 0.4641 W
0.8636 0.7500 0.2500 W
0.5155 0.2893 0.9641 W
0.7688 0.2107 0.5359 W
0.4845 0.7107 0.0359 W
0.1364 0.2500 0.7500 W
```

No. 13
This record from Alexandria via LeMat-Bulk describes a relaxed structure of Ba3Au. The functional is GGA-PBEsol.

## Properties
Its total energy is -11.66 eV for the cell shown. As for the density of states at the Fermi level: 0.87 states/eV per atom. As for the formation energy: -0.323 eV/atom.

```
Ba3Au
1.0
-1.1119 -3.2422 -2.1563
3.8805 -1.1080 -0.3350
-0.8497 -5.6999 9.0085
Au Ba
1 3
Direct
0.0000 0.0000 0.0000 Au
0.5000 0.5000 0.1718 Ba
0.5000 0.5000 0.8282 Ba
0.0000 0.0000 0.5000 Ba
```